## YTaOs (PBE)

Data for a relaxed YTaOs crystal.

The structure in extended XYZ format:
```
3
Lattice="-1.836 -4.123 -0.515 1.202 -2.598 -3.528 2.530 -3.713 0.671" Properties=species:S:1:pos:R:3 pbc="T T T"
Ta 0.948 -5.217 -1.686
Y 0.474 -2.609 -0.843
Os 0.000 0.000 0.000
```

**ΔH_f (0 K)**: 1.54 eV/atom
**Calculated volume**: 22.102 Å³/atom
**Symmetry**: F-43m (216)
**Offset from the most stable computed form**: 171.7 kJ per mole of atoms
**E_tot**: -24.9 eV for the cell shown